No. 1
# PBE MnZnFe2Si, relaxed
# ΔE_f (raw)	3.54	eV/f.u.
data_MnZnFe2Si
_space_group_name_H-M_alt 'P 4/m m m'
_space_group_IT_number 123
_space_group_name_Hall '-P 4 2'
_cell_length_a 4.285
_cell_length_b 4.285
_cell_length_c 4.420
_cell_angle_alpha 90.00
_cell_angle_beta 90.00
_cell_angle_gamma 90.00
loop_
_atom_site_label
_atom_site_type_symbol
_atom_site_fract_x
_atom_site_fract_y
_atom_site_fract_z
Mn1 Mn 0.000 0.000 0.000
Zn1 Zn 0.500 0.500 0.000
Fe1 Fe 0.000 0.500 0.500
Si1 Si 0.500 0.500 0.500

---

No. 2
# PBE BaPrEuTl, relaxed
# energy relative to the elements	-0.049	eV per atom
data_BaPrEuTl
_space_group_name_H-M_alt 'F -4 3 m'
_space_group_IT_number 216
_space_group_name_Hall 'F -4 2 3'
_cell_length_a 8.410
_cell_length_b 8.410
_cell_length_c 8.410
_cell_angle_alpha 90.00
_cell_angle_beta 90.00
_cell_angle_gamma 90.00
loop_
_atom_site_label
_atom_site_type_symbol
_atom_site_fract_x
_atom_site_fract_y
_atom_site_fract_z
Ba1 Ba 0.000 0.000 0.000
Pr1 Pr 0.000 0.000 0.500
Eu1 Eu 0.250 0.250 0.250
Tl1 Tl 0.250 0.250 0.750

---

| no. | size of the total moment (μB per formula unit) |
| --- | --- |
| 1 | 8.6 |
| 2 | 7.3 |